Computed, not measured: an optimized crystal structure of Sm2HfSb3 at the PBE level of DFT.

Properties
E_form (uncorrected) = -0.86 eV/atom
Density of states at the Fermi level = 2.473 states/eV/cell
Space group = No. 139

The structure in POSCAR format:
```
Sm2HfSb3
1.0
-2.1750 2.1750 9.1740
2.1750 -2.1750 9.1740
2.1750 2.1750 -9.1740
Sm Hf Sb
2 1 3
Cartesian
0.0000 0.0000 3.1056
0.0000 0.0000 15.2423
0.0000 0.0000 9.1740
0.0000 0.0000 0.0000
0.0000 0.0000 6.2595
0.0000 0.0000 12.0884
```